A plane-wave DFT calculation with PBE with a Hubbard U was carried out for a relaxed structure of MnOsO4.

Properties
Raw total energy: -7.659 eV per atom
Magnetic moment: 3.5 μB per formula unit

Cell: 5.6377 4.6322 5.5743 Å, 90.00 110.90 90.00°
With the nearest neighbours (Å) after each atom.
Element x y z (fractional)
Mn  0.0000  0.0000  0.0000  6 O 2.04-2.20
Mn  0.0000  0.5000  0.5000  6 O 2.04-2.20
Os  0.5000  0.0000  0.5000  6 O 1.92-1.98
Os  0.5000  0.5000  0.0000  6 O 1.92-1.98
O  0.1724  0.1829  0.3677  1 Os 1.92, 2 Mn 2.04-2.11
O  0.1724  0.3171  0.8677  1 Os 1.92, 2 Mn 2.04-2.11
O  0.3646  0.7250  0.6776  2 Os 1.93-1.98
O  0.3646  0.7750  0.1776  2 Os 1.93-1.98
O  0.6354  0.2250  0.8224  2 Os 1.93-1.98
O  0.6354  0.2750  0.3224  2 Os 1.93-1.98
O  0.8276  0.6829  0.1323  1 Os 1.92, 2 Mn 2.04-2.11
O  0.8276  0.8171  0.6323  1 Os 1.92, 2 Mn 2.04-2.11